Material: Zr3NbAu
Method: DFT, PBE-GGA
State: optimized geometry

Cell and atoms, written as POSCAR:
```
Zr3NbAu
1.0
5.053 0.000 0.000
0.000 5.053 0.000
0.000 0.000 5.053
Nb Au Zr
1 1 3
Cartesian
0.000 0.000 0.000
2.527 2.527 2.527
0.000 2.527 0.000
0.000 0.000 2.527
2.527 0.000 0.000
```

Excess energy over the best structure of this formula in the dataset: 0.0 kJ/mol of atoms
Energy relative to the elements: 0.855 eV per atom
Raw total energy: -34.71 eV per cell

---

Material: ZrNb2Au
Method: DFT, PBE-GGA
State: optimized geometry

Cell and atoms, written as POSCAR:
```
ZrNb2Au
1.0
3.958 0.000 0.000
0.000 3.958 0.000
1.979 1.979 10.425
Nb Au Zr
4 2 2
Cartesian
2.955 0.990 2.606
1.003 2.969 2.606
2.969 2.982 7.819
4.948 4.934 7.819
0.000 0.000 0.000
3.958 1.979 5.213
1.979 1.979 0.000
1.979 3.958 5.213
```

Excess energy over the best structure of this formula in the dataset: 16.4 kJ/mol of atoms
Energy relative to the elements: 0.262 eV per atom
Raw total energy: -61.84 eV per cell

---

Material: Nd3Au
Method: DFT, PBE-GGA
State: optimized geometry

Cell and atoms, written as POSCAR:
```
Nd3Au
1.0
-1.225 -0.711 -3.452
0.573 -5.731 0.977
-4.951 3.019 3.152
Nd Au
3 1
Cartesian
-2.869 -2.210 1.473
-0.368 -2.796 -1.310
-2.889 0.334 -1.060
0.006 -0.061 0.010
```

Excess energy over the best structure of this formula in the dataset: 5.5 kJ/mol of atoms
Energy relative to the elements: -0.343 eV per atom
Raw total energy: -18.95 eV per cell

---

Material: NdAu6
Method: DFT, PBE-GGA
State: optimized geometry

Cell and atoms, written as POSCAR:
```
NdAu6
1.0
6.422 0.000 0.000
0.000 6.422 0.000
0.000 0.000 6.422
Nd Au
1 6
Cartesian
0.000 0.000 0.000
1.261 3.211 3.211
3.211 3.211 5.161
3.211 3.211 1.261
3.211 1.261 3.211
3.211 5.161 3.211
5.161 3.211 3.211
```

Excess energy over the best structure of this formula in the dataset: 112.9 kJ/mol of atoms
Energy relative to the elements: 0.759 eV per atom
Raw total energy: -19.12 eV per cell

---

Material: NdAu6
Method: DFT, PBE-GGA
State: optimized geometry

Cell and atoms, written as POSCAR:
```
NdAu6
1.0
5.758 0.000 0.000
0.000 9.011 0.000
0.000 0.000 11.171
Nd Au
4 24
Cartesian
4.319 2.144 10.425
1.440 6.867 0.745
4.319 6.650 6.331
1.440 2.361 4.840
4.319 5.495 0.243
1.440 3.517 10.927
4.319 0.989 5.342
1.440 8.022 5.828
0.055 3.995 2.171
2.934 5.016 9.000
2.824 8.501 3.414
5.703 0.510 7.756
5.703 5.016 9.000
2.824 3.995 2.171
2.934 0.510 7.756
0.055 8.501 3.414
1.440 1.403 1.747
4.319 7.608 9.424
1.440 5.909 3.839
4.319 3.102 7.332
1.440 7.326 8.677
4.319 1.685 2.494
1.440 2.821 8.079
4.319 6.191 3.091
1.440 5.139 6.482
4.319 3.872 4.689
1.440 0.634 10.274
4.319 8.378 0.896
```

Excess energy over the best structure of this formula in the dataset: 3.2 kJ/mol of atoms
Energy relative to the elements: -0.379 eV per atom
Raw total energy: -108.34 eV per cell

---

Material: Nd3Au
Method: DFT, PBE-GGA
State: optimized geometry

Cell and atoms, written as POSCAR:
```
Nd3Au
1.0
3.782 0.000 0.000
0.000 3.735 0.000
0.000 0.000 9.587
Nd Au
3 1
Cartesian
0.000 1.867 4.476
1.891 1.867 1.344
1.891 0.000 7.055
0.000 0.000 9.496
```

Excess energy over the best structure of this formula in the dataset: 22.1 kJ/mol of atoms
Energy relative to the elements: -0.171 eV per atom
Raw total energy: -18.27 eV per cell

---

Material: Nd3Au2
Method: DFT, PBE-GGA
State: optimized geometry

Cell and atoms, written as POSCAR:
```
Nd3Au2
1.0
-2.073 0.722 2.995
2.419 -1.854 2.121
5.016 9.094 -1.021
Nd Au
3 2
Cartesian
0.000 0.000 0.000
1.898 3.120 0.563
3.463 4.841 3.533
4.232 6.955 1.254
1.130 1.006 2.842
```

Excess energy over the best structure of this formula in the dataset: 3.0 kJ/mol of atoms
Energy relative to the elements: -0.603 eV per atom
Raw total energy: -23.87 eV per cell

---

Material: Nd3Au
Method: DFT, PBE-GGA
State: optimized geometry

Cell and atoms, written as POSCAR:
```
Nd3Au
1.0
-3.085 3.507 1.400
-2.326 -0.342 -4.271
-2.974 -3.370 1.889
Nd Au
3 1
Cartesian
-2.650 -1.856 -1.191
-3.030 0.068 1.644
-2.706 1.583 -1.436
0.000 0.000 0.000
```

Excess energy over the best structure of this formula in the dataset: 17.9 kJ/mol of atoms
Energy relative to the elements: -0.215 eV per atom
Raw total energy: -18.44 eV per cell

---

Q: What is the formula in the third record?
A: Nd3Au